[1]
PrDy8Ho3: optimized geometry, GGA-PBE.

Computed properties:
total DFT energy (no corrections): -4.281 eV/atom

Lattice parameters (Å, degrees): 6.418 11.276 11.373 90.00 90.00 90.00
Space group Immm (No. 71)
Asymmetric unit:
Pr  0.000  0.000  0.000
Dy  0.000  0.169  0.251
Dy  0.246  0.258  0.000
Ho  0.000  0.000  0.500
Ho  0.000  0.500  0.242

***

[2]
Ho5Er3Th3: optimized geometry, GGA-PBE.

Computed properties:
E above lowest polymorph: 12 meV/atom
total DFT energy (no corrections): -4.948 eV/atom

Lattice parameters (Å, degrees): 11.1068 11.1068 3.4156 90.00 90.00 120.00
Space group P-62m (No. 189)
Asymmetric unit:
Ho  0.0000  0.6599  0.0000
Ho  0.3333  0.6667  0.0000
Er  0.0000  0.1607  0.0000
Th  0.0000  0.4049  0.5000

***

[3]
Mo3Au: optimized geometry, GGA-PBE.

Computed properties:
total DFT energy (no corrections): -8.789 eV/atom

Lattice parameters (Å, degrees): 4.003 4.003 4.003 90.00 90.00 90.00
Space group Pm-3m (No. 221)
Asymmetric unit:
Mo  0.000  0.000  0.500
Au  0.500  0.500  0.500

***

Copy entry 3 word for word.
Mo3Au: optimized geometry, GGA-PBE.

Computed properties:
total DFT energy (no corrections): -8.789 eV/atom

Lattice parameters (Å, degrees): 4.003 4.003 4.003 90.00 90.00 90.00
Space group Pm-3m (No. 221)
Asymmetric unit:
Mo  0.000  0.000  0.500
Au  0.500  0.500  0.500